# 1
Density functional theory data (PBE-GGA) for a relaxed CeGdHoIn crystal.

Output
- volume (Å³/f.u.) = 111.6
- magnetic moment (μB/f.u.) = 7.6
- E_form (eV/atom) = -0.08
- DOS at the Fermi energy (states/eV per cell) = 6.22
- space group = No. 216

Structure (extended XYZ):
```
4
Lattice="0.000 3.821 3.821 3.821 0.000 3.821 3.821 3.821 0.000" Properties=species:S:1:pos:R:3 pbc="T T T"
Ce 0.000 0.000 0.000
Gd 1.911 1.911 1.911
Ho 5.732 5.732 5.732
In 3.821 3.821 3.821
```


# 2
Density functional theory data (PBE-GGA) for a relaxed LiCeGdHo crystal.

Output
- volume (Å³/f.u.) = 111.7
- magnetic moment (μB/f.u.) = 10.4
- E_form (eV/atom) = 0.27
- DOS at the Fermi energy (states/eV per cell) = 8.30
- space group = No. 216

Structure (extended XYZ):
```
4
Lattice="0.000 3.823 3.823 3.823 0.000 3.823 3.823 3.823 0.000" Properties=species:S:1:pos:R:3 pbc="T T T"
Li 0.000 0.000 0.000
Ce 3.823 3.823 3.823
Gd 5.734 5.734 5.734
Ho 1.911 1.911 1.911
```


# 3
Density functional theory data (PBE-GGA) for a relaxed CeNdGdHo crystal.

Output
- volume (Å³/f.u.) = 132.1
- magnetic moment (μB/f.u.) = 10.4
- E_form (eV/atom) = 0.17
- DOS at the Fermi energy (states/eV per cell) = 9.66
- space group = No. 216

Structure (extended XYZ):
```
4
Lattice="0.000 4.042 4.042 4.042 0.000 4.042 4.042 4.042 0.000" Properties=species:S:1:pos:R:3 pbc="T T T"
Ce 0.000 0.000 0.000
Nd 2.021 2.021 2.021
Gd 6.063 6.063 6.063
Ho 4.042 4.042 4.042
```


# 4
Density functional theory data (PBE-GGA) for a relaxed CeGdHoPb crystal.

Output
- volume (Å³/f.u.) = 114.8
- magnetic moment (μB/f.u.) = 7.1
- E_form (eV/atom) = -0.06
- DOS at the Fermi energy (states/eV per cell) = 7.85
- space group = No. 216

Structure (extended XYZ):
```
4
Lattice="0.000 3.858 3.858 3.858 0.000 3.858 3.858 3.858 0.000" Properties=species:S:1:pos:R:3 pbc="T T T"
Ce 0.000 0.000 0.000
Gd 5.786 5.786 5.786
Ho 1.929 1.929 1.929
Pb 3.858 3.858 3.858
```